Record 1
{
  "formula": "MgHgBr2",
  "functional": "PBE-GGA",
  "state": "relaxed",
  "magmom_total_mub_per_fu": 0.000,
  "e_form_raw_ev_per_atom": -0.447,
  "de_polymorph_ev_per_atom": 0.646,
  "lattice_angstrom": [[0.000, 3.739, 3.739], [3.739, 0.000, 3.739], [3.739, 3.739, 0.000]],
  "species": ["Mg", "Hg", "Br", "Br"],
  "fractional_positions": [[0.000, 0.000, 0.000], [0.500, 0.500, 0.500], [0.250, 0.250, 0.250], [0.750, 0.750, 0.750]]
}



Record 2
{
  "formula": "MgHgBr2",
  "functional": "PBE-GGA",
  "state": "relaxed",
  "magmom_total_mub_per_fu": 0.000,
  "e_form_raw_ev_per_atom": -0.427,
  "de_polymorph_ev_per_atom": 0.666,
  "lattice_angstrom": [[-4.122, 1.492, 0.714], [-2.136, -2.703, -6.683], [-2.251, -4.877, -2.805]],
  "species": ["Br", "Br", "Hg", "Mg"],
  "fractional_positions": [[0.000, 0.000, 0.000], [0.500, 0.500, 0.000], [0.500, 0.500, 0.500], [0.000, 0.000, 0.500]]
}



Record 3
{
  "formula": "MgHgBr2",
  "functional": "PBE-GGA",
  "state": "relaxed",
  "magmom_total_mub_per_fu": 0.000,
  "e_form_raw_ev_per_atom": -0.713,
  "de_polymorph_ev_per_atom": 0.380,
  "lattice_angstrom": [[6.168, -0.030, 0.023], [1.489, 5.986, -0.023], [-2.567, -4.599, 3.209]],
  "species": ["Br", "Br", "Hg", "Mg"],
  "fractional_positions": [[0.939, 0.939, 0.000], [0.284, 0.784, 0.500], [0.523, 0.523, 0.000], [0.754, 0.254, 0.500]]
}



Record 4
{
  "formula": "MgHgBr2",
  "functional": "PBE-GGA",
  "state": "relaxed",
  "magmom_total_mub_per_fu": 0.000,
  "e_form_raw_ev_per_atom": -0.772,
  "de_polymorph_ev_per_atom": 0.321,
  "lattice_angstrom": [[-1.073, -0.919, -3.156], [0.154, -3.330, 0.917], [-9.681, 0.425, 3.168]],
  "species": ["Br", "Br", "Hg", "Mg"],
  "fractional_positions": [[0.000, 0.000, 0.910], [0.000, 0.000, 0.590], [0.500, 0.500, 0.250], [0.500, 0.500, 0.750]]
}



Record 5
{
  "formula": "MgHg2Br",
  "functional": "PBE-GGA",
  "state": "relaxed",
  "magmom_total_mub_per_fu": 0.000,
  "e_form_raw_ev_per_atom": -0.326,
  "de_polymorph_ev_per_atom": 0.109,
  "lattice_angstrom": [[-4.911, 4.559, 5.817], [-6.501, 0.657, -6.003], [-6.841, 0.159, 0.868]],
  "species": ["Mg", "Mg", "Hg", "Hg", "Hg", "Hg", "Br", "Br"],
  "fractional_positions": [[0.500, 0.500, 0.000], [0.250, 0.750, 0.500], [0.572, 0.125, 0.250], [0.178, 0.625, 0.250], [0.375, 0.428, 0.750], [0.875, 0.822, 0.750], [0.000, 0.000, 0.000], [0.750, 0.250, 0.500]]
}



Record 6
{
  "formula": "MgHgBr2",
  "functional": "PBE-GGA",
  "state": "relaxed",
  "magmom_total_mub_per_fu": 0.000,
  "e_form_raw_ev_per_atom": -0.791,
  "de_polymorph_ev_per_atom": 0.302,
  "lattice_angstrom": [[9.252, 0.061, 0.036], [8.416, 3.843, 0.036], [8.416, 1.860, 3.364]],
  "species": ["Br", "Br", "Hg", "Mg"],
  "fractional_positions": [[0.031, 0.031, 0.031], [0.226, 0.226, 0.226], [0.491, 0.491, 0.491], [0.752, 0.752, 0.752]]
}



Record 7
{
  "formula": "Mg2Hg2Br",
  "functional": "PBE-GGA",
  "state": "relaxed",
  "magmom_total_mub_per_fu": 0.000,
  "e_form_raw_ev_per_atom": -0.178,
  "de_polymorph_ev_per_atom": 0.157,
  "lattice_angstrom": [[4.264, 0.000, 0.000], [0.000, 4.264, 0.000], [2.132, 2.132, 7.418]],
  "species": ["Mg", "Mg", "Hg", "Hg", "Br"],
  "fractional_positions": [[0.397, 0.397, 0.207], [0.603, 0.603, 0.793], [0.750, 0.250, 0.500], [0.250, 0.750, 0.500], [0.000, 0.000, 0.000]]
}



Record 8
{
  "formula": "MgHg2Br",
  "functional": "PBE-GGA",
  "state": "relaxed",
  "magmom_total_mub_per_fu": 0.000,
  "e_form_raw_ev_per_atom": -0.263,
  "de_polymorph_ev_per_atom": 0.172,
  "lattice_angstrom": [[-7.029, -2.124, 3.473], [-4.233, -4.167, 5.540], [-4.967, -0.301, 6.420]],
  "species": ["Br", "Hg", "Hg", "Mg"],
  "fractional_positions": [[0.750, 0.750, 0.750], [0.992, 0.992, 0.992], [0.508, 0.508, 0.508], [0.250, 0.250, 0.250]]
}



Record 9
{
  "formula": "MgHgBr2",
  "functional": "PBE-GGA",
  "state": "relaxed",
  "magmom_total_mub_per_fu": 0.000,
  "e_form_raw_ev_per_atom": -1.093,
  "de_polymorph_ev_per_atom": 0.000,
  "lattice_angstrom": [[2.226, 0.000, 11.879], [-1.113, 1.928, 11.879], [-1.113, -1.928, 11.879]],
  "species": ["Mg", "Hg", "Br", "Br"],
  "fractional_positions": [[0.500, 0.500, 0.500], [0.000, 0.000, 0.000], [0.876, 0.876, 0.876], [0.124, 0.124, 0.124]]
}



Record 10
{
  "formula": "MgHg2Br",
  "functional": "PBE-GGA",
  "state": "relaxed",
  "magmom_total_mub_per_fu": 0.000,
  "e_form_raw_ev_per_atom": -0.143,
  "de_polymorph_ev_per_atom": 0.291,
  "lattice_angstrom": [[5.342, 0.000, 0.000], [2.671, 4.626, 0.000], [2.671, 1.542, 4.361]],
  "species": ["Br", "Hg", "Hg", "Mg"],
  "fractional_positions": [[0.500, 0.500, 0.500], [0.000, 0.000, 0.000], [0.250, 0.250, 0.250], [0.750, 0.750, 0.750]]
}



Record 11
{
  "formula": "MgHgBr2",
  "functional": "PBE-GGA",
  "state": "relaxed",
  "magmom_total_mub_per_fu": 0.000,
  "e_form_raw_ev_per_atom": -0.365,
  "de_polymorph_ev_per_atom": 0.728,
  "lattice_angstrom": [[6.971, 0.035, 0.000], [4.348, 5.449, 0.000], [-5.660, -2.742, 3.008]],
  "species": ["Br", "Br", "Hg", "Mg"],
  "fractional_positions": [[0.000, 0.000, 0.000], [0.250, 0.750, 0.500], [0.500, 0.500, 0.000], [0.750, 0.250, 0.500]]
}



Record 12
{
  "formula": "MgHgBr2",
  "functional": "PBE-GGA",
  "state": "relaxed",
  "magmom_total_mub_per_fu": 0.000,
  "e_form_raw_ev_per_atom": -0.977,
  "de_polymorph_ev_per_atom": 0.116,
  "lattice_angstrom": [[7.749, 0.178, -0.144], [6.777, 3.762, -0.144], [3.443, 0.934, 5.563]],
  "species": ["Br", "Br", "Hg", "Mg"],
  "fractional_positions": [[0.925, 0.925, 0.101], [0.728, 0.728, 0.950], [0.503, 0.503, 0.476], [0.344, 0.344, 0.973]]
}



Record 13
{
  "formula": "MgHgBr2",
  "functional": "PBE-GGA",
  "state": "relaxed",
  "magmom_total_mub_per_fu": 0.000,
  "e_form_raw_ev_per_atom": -0.922,
  "de_polymorph_ev_per_atom": 0.171,
  "lattice_angstrom": [[4.166, -0.025, 0.000], [-2.479, 3.348, 0.000], [0.000, 0.000, 11.112]],
  "species": ["Br", "Br", "Hg", "Mg"],
  "fractional_positions": [[0.000, 0.000, 0.909], [0.000, 0.000, 0.591], [0.500, 0.500, 0.250], [0.500, 0.500, 0.750]]
}



Record 14
{
  "formula": "MgHgBr2",
  "functional": "PBE-GGA",
  "state": "relaxed",
  "magmom_total_mub_per_fu": 0.000,
  "e_form_raw_ev_per_atom": -0.633,
  "de_polymorph_ev_per_atom": 0.460,
  "lattice_angstrom": [[4.066, -0.026, 0.000], [-2.234, 3.397, 0.000], [0.000, 0.000, 9.428]],
  "species": ["Br", "Br", "Hg", "Mg"],
  "fractional_positions": [[0.000, 0.000, 0.926], [0.500, 0.500, 0.311], [0.000, 0.000, 0.519], [0.500, 0.500, 0.745]]
}



Record 15
{
  "formula": "MgHg2Br",
  "functional": "PBE-GGA",
  "state": "relaxed",
  "magmom_total_mub_per_fu": 0.000,
  "e_form_raw_ev_per_atom": -0.291,
  "de_polymorph_ev_per_atom": 0.143,
  "lattice_angstrom": [[-2.860, -3.163, -0.695], [5.325, -2.646, 2.836], [-0.843, -0.454, 4.086]],
  "species": ["Br", "Hg", "Hg", "Mg"],
  "fractional_positions": [[0.500, 0.500, 0.000], [0.000, 0.000, 0.000], [0.500, 0.000, 0.500], [0.000, 0.500, 0.500]]
}



Record 16
{
  "formula": "MgHg2Br",
  "functional": "PBE-GGA",
  "state": "relaxed",
  "magmom_total_mub_per_fu": 0.000,
  "e_form_raw_ev_per_atom": -0.233,
  "de_polymorph_ev_per_atom": 0.201,
  "lattice_angstrom": [[-2.432, -2.004, 1.783], [-0.073, -1.581, -3.257], [5.746, -4.949, 2.272]],
  "species": ["Br", "Hg", "Hg", "Mg"],
  "fractional_positions": [[0.500, 0.500, 0.750], [0.000, 0.000, 0.022], [0.000, 0.000, 0.478], [0.500, 0.500, 0.250]]
}



Record 17
{
  "formula": "MgHgBr2",
  "functional": "PBE-GGA",
  "state": "relaxed",
  "magmom_total_mub_per_fu": 0.000,
  "e_form_raw_ev_per_atom": -0.364,
  "de_polymorph_ev_per_atom": 0.729,
  "lattice_angstrom": [[-5.005, 0.778, -1.288], [-1.311, -4.451, 2.405], [-0.546, 1.941, 3.295]],
  "species": ["Br", "Br", "Hg", "Mg"],
  "fractional_positions": [[0.000, 0.000, 0.000], [0.500, 0.500, 0.000], [0.500, 0.000, 0.500], [0.000, 0.500, 0.500]]
}



Record 18
{
  "formula": "MgHg2Br",
  "functional": "PBE-GGA",
  "state": "relaxed",
  "magmom_total_mub_per_fu": 0.000,
  "e_form_raw_ev_per_atom": -0.434,
  "de_polymorph_ev_per_atom": 0.000,
  "lattice_angstrom": [[3.646, 0.000, 0.000], [0.000, 3.733, -0.250], [0.000, 0.622, 8.739]],
  "species": ["Br", "Hg", "Hg", "Mg"],
  "fractional_positions": [[0.500, 0.622, 0.689], [0.000, 0.125, 0.019], [0.500, 0.127, 0.312], [0.000, 0.626, 0.480]]
}



Record 19
{
  "formula": "MgHg2Br2",
  "functional": "PBE-GGA",
  "state": "relaxed",
  "magmom_total_mub_per_fu": 0.000,
  "e_form_raw_ev_per_atom": -0.660,
  "lattice_angstrom": [[7.000, 0.000, 0.000], [0.000, 7.000, 0.000], [0.000, 0.000, 7.371]],
  "species": ["Mg", "Mg", "Hg", "Hg", "Hg", "Hg", "Br", "Br", "Br", "Br"],
  "fractional_positions": [[0.000, 0.000, 0.000], [0.500, 0.500, 0.000], [0.170, 0.670, 0.500], [0.670, 0.830, 0.500], [0.830, 0.330, 0.500], [0.330, 0.170, 0.500], [0.320, 0.820, 0.000], [0.820, 0.680, 0.000], [0.680, 0.180, 0.000], [0.180, 0.320, 0.000]]
}



Record 20
{
  "formula": "MgHgBr2",
  "functional": "PBE-GGA",
  "state": "relaxed",
  "magmom_total_mub_per_fu": 0.000,
  "e_form_raw_ev_per_atom": -0.380,
  "de_polymorph_ev_per_atom": 0.713,
  "lattice_angstrom": [[5.598, 0.027, 0.012], [-0.443, 5.581, 0.012], [1.195, 1.300, 3.841]],
  "species": ["Br", "Br", "Hg", "Mg"],
  "fractional_positions": [[0.000, 0.000, 0.000], [0.500, 0.500, 0.000], [0.500, 0.000, 0.500], [0.000, 0.500, 0.500]]
}



Record 21
{
  "formula": "Mg4HgBr8",
  "functional": "PBE-GGA",
  "state": "relaxed",
  "magmom_total_mub_per_fu": 0.000,
  "e_form_raw_ev_per_atom": -1.326,
  "lattice_angstrom": [[3.820, 0.000, 0.828], [1.749, 9.659, 1.157], [-0.221, -0.069, 10.253]],
  "species": ["Mg", "Mg", "Mg", "Mg", "Hg", "Br", "Br", "Br", "Br", "Br", "Br", "Br", "Br"],
  "fractional_positions": [[0.364, 0.830, 0.443], [0.850, 0.503, 0.797], [0.181, 0.500, 0.138], [0.667, 0.175, 0.491], [0.516, 0.001, 0.967], [0.156, 0.321, 0.367], [0.557, 0.652, 0.234], [0.475, 0.351, 0.699], [0.875, 0.683, 0.567], [0.856, 0.975, 0.313], [0.224, 0.653, 0.899], [0.176, 0.029, 0.620], [0.808, 0.349, 0.036]]
}



Record 22
{
  "formula": "MgHg2Br",
  "functional": "PBE-GGA",
  "state": "relaxed",
  "magmom_total_mub_per_fu": 0.000,
  "e_form_raw_ev_per_atom": -0.229,
  "de_polymorph_ev_per_atom": 0.205,
  "lattice_angstrom": [[-2.061, 2.925, 0.404], [0.000, -0.493, 3.567], [6.377, 4.409, 0.610]],
  "species": ["Br", "Hg", "Hg", "Mg"],
  "fractional_positions": [[0.500, 0.500, 0.750], [0.000, 0.000, 0.023], [0.000, 0.000, 0.477], [0.500, 0.500, 0.250]]
}



Record 23
{
  "formula": "MgHgBr3",
  "functional": "PBE-GGA",
  "state": "relaxed",
  "magmom_total_mub_per_fu": 0.000,
  "e_form_raw_ev_per_atom": -0.720,
  "de_polymorph_ev_per_atom": 0.000,
  "lattice_angstrom": [[-1.084, 2.611, -4.461], [-2.149, -4.373, -2.038], [-4.701, 1.397, 1.960]],
  "species": ["Mg", "Hg", "Br", "Br", "Br"],
  "fractional_positions": [[0.000, 0.000, 0.000], [0.500, 0.500, 0.500], [0.000, 0.500, 0.000], [0.000, 0.000, 0.500], [0.500, 0.000, 0.000]]
}



Record 24
{
  "formula": "MgHgBr2",
  "functional": "PBE-GGA",
  "state": "relaxed",
  "magmom_total_mub_per_fu": 0.000,
  "e_form_raw_ev_per_atom": -0.268,
  "de_polymorph_ev_per_atom": 0.825,
  "lattice_angstrom": [[-0.317, 2.719, 4.529], [-2.629, -2.023, 4.123], [2.648, -1.657, 4.272]],
  "species": ["Br", "Br", "Hg", "Mg"],
  "fractional_positions": [[0.000, 0.000, 0.000], [0.250, 0.250, 0.250], [0.500, 0.500, 0.500], [0.750, 0.750, 0.750]]
}



Record 25
{
  "formula": "MgHg2Br",
  "functional": "PBE-GGA",
  "state": "relaxed",
  "magmom_total_mub_per_fu": 0.000,
  "e_form_raw_ev_per_atom": -0.352,
  "de_polymorph_ev_per_atom": 0.083,
  "lattice_angstrom": [[6.118, -0.013, -0.014], [1.844, 5.834, 0.014], [-2.967, -4.298, 3.187]],
  "species": ["Br", "Hg", "Hg", "Mg"],
  "fractional_positions": [[0.308, 0.808, 0.500], [0.983, 0.983, 0.000], [0.716, 0.216, 0.500], [0.493, 0.493, 0.000]]
}



Record 26
{
  "formula": "MgHg2Br",
  "functional": "PBE-GGA",
  "state": "relaxed",
  "magmom_total_mub_per_fu": 0.000,
  "e_form_raw_ev_per_atom": -0.094,
  "de_polymorph_ev_per_atom": 0.341,
  "lattice_angstrom": [[1.979, -4.713, 1.754], [-1.288, -1.805, 4.929], [-3.270, -4.269, 0.546]],
  "species": ["Mg", "Hg", "Hg", "Br"],
  "fractional_positions": [[0.000, 0.000, 0.000], [0.250, 0.250, 0.250], [0.750, 0.750, 0.750], [0.500, 0.500, 0.500]]
}



Record 27
{
  "formula": "MgHg2Br",
  "functional": "PBE-GGA",
  "state": "relaxed",
  "magmom_total_mub_per_fu": 0.000,
  "e_form_raw_ev_per_atom": -0.329,
  "de_polymorph_ev_per_atom": 0.106,
  "lattice_angstrom": [[-3.320, 1.315, -6.109], [-0.155, 0.261, -7.070], [-1.877, -4.055, -1.735]],
  "species": ["Br", "Hg", "Hg", "Mg"],
  "fractional_positions": [[0.250, 0.250, 0.250], [0.052, 0.052, 0.947], [0.448, 0.448, 0.553], [0.750, 0.750, 0.750]]
}



Record 28
{
  "formula": "MgHg2Br",
  "functional": "PBE-GGA",
  "state": "relaxed",
  "magmom_total_mub_per_fu": 0.000,
  "e_form_raw_ev_per_atom": -0.161,
  "de_polymorph_ev_per_atom": 0.273,
  "lattice_angstrom": [[5.747, -0.020, 0.000], [1.852, 5.441, 0.000], [-3.800, -2.710, 3.354]],
  "species": ["Br", "Hg", "Hg", "Mg"],
  "fractional_positions": [[0.750, 0.250, 0.500], [0.000, 0.000, 0.000], [0.250, 0.750, 0.500], [0.500, 0.500, 0.000]]
}



Record 29
{
  "formula": "MgHg2Br",
  "functional": "PBE-GGA",
  "state": "relaxed",
  "magmom_total_mub_per_fu": 0.000,
  "e_form_raw_ev_per_atom": -0.380,
  "de_polymorph_ev_per_atom": 0.054,
  "lattice_angstrom": [[3.484, 0.000, 0.000], [0.000, 3.484, 0.000], [0.000, 0.000, 8.938]],
  "species": ["Br", "Hg", "Hg", "Mg"],
  "fractional_positions": [[0.500, 0.500, 0.673], [0.000, 0.000, 0.031], [0.500, 0.500, 0.293], [0.000, 0.000, 0.502]]
}